Entry 1:
VASP calculation (PBE) on Sb2AuCl after structural relaxation.

abc: 6.289 3.395 5.251
angles: 71.15 90.00 90.00
Positions (direct):
Au1 0.000 0.402 0.567
Cl1 0.500 0.861 0.654
Sb1 0.000 0.125 0.122
Sb2 0.500 0.112 0.157

Values from the calculation:
Its symmetry is Pm, No. 6. The electronic total energy comes out at -13.70 eV/cell. For the uncorrected formation energy, the calculation gives -0.08 eV per atom.



Entry 2:
VASP calculation (PBE) on Sb2AuCl after structural relaxation.

abc: 5.023 5.023 5.023
angles: 60.00 60.00 60.00
Positions (direct):
Sb1 0.250 0.250 0.250
Sb2 0.750 0.750 0.750
Au1 0.500 0.500 0.500
Cl1 0.000 0.000 0.000

Values from the calculation:
Its symmetry is Fm-3m, No. 225. The electronic total energy comes out at -13.23 eV/cell. For the uncorrected formation energy, the calculation gives 0.04 eV per atom.



Entry 3:
VASP calculation (PBE) on SbAu2Cl after structural relaxation.

abc: 3.490 3.490 8.073
angles: 90.00 90.00 110.91
Positions (direct):
Au1 0.000 0.000 0.015
Au2 0.500 0.500 0.243
Cl1 0.000 0.000 0.455
Sb1 0.500 0.500 0.787

Values from the calculation:
Its symmetry is Cmm2, No. 35. The electronic total energy comes out at -12.42 eV/cell. For the uncorrected formation energy, the calculation gives 0.02 eV per atom.



What are the energy above the most stable polymorph in this dataset values for these records? In order: 158 277 132 meV/atom.